Nb6MoPt (PBE-GGA, optimized geometry); polymorph energy (0 for the lowest one) = 22 meV per atom
1.0
4.4298 0.0002 1.3339
-0.4020 4.4114 1.3344
0.2094 0.2286 7.3269
Nb Mo Pt
6 1 1
direct
0.7479 0.7478 0.5043 Nb
0.6237 0.1237 0.7526 Nb
0.1237 0.6237 0.7526 Nb
0.3763 0.8763 0.2474 Nb
0.2521 0.2522 0.4957 Nb
0.8763 0.3763 0.2474 Nb
0.5000 0.5000 0.0000 Mo
0.0000 0.0000 0.0000 Pt


Be5Au (PBE-GGA, optimized geometry); polymorph energy (0 for the lowest one) = 96 meV per atom
1.0
-1.4751 3.0564 -2.4762
-3.8176 1.4161 -1.0340
-0.9695 3.9535 2.9219
Au Be
1 5
direct
0.9722 0.9722 0.0555 Au
0.2979 0.2979 0.4130 Be
0.6465 0.6465 0.6981 Be
0.6369 0.6369 0.2520 Be
0.9723 0.9723 0.5553 Be
0.3075 0.3075 0.8593 Be


Tm6Mg2C (PBE-GGA, optimized geometry); E_tot = -4.4890 eV/atom
1.0
6.9363 0.0000 -0.1828
0.0000 6.9393 0.0000
0.2564 0.0000 9.7209
Tm Mg C
12 4 2
direct
0.9632 0.9998 0.2549 Tm
0.7563 0.7558 0.5188 Tm
0.7436 0.7443 0.9812 Tm
0.7564 0.2443 0.5188 Tm
0.7437 0.2558 0.9812 Tm
0.5368 0.4998 0.2451 Tm
0.0368 0.0002 0.7451 Tm
0.2437 0.2442 0.4812 Tm
0.2564 0.2557 0.0188 Tm
0.2436 0.7557 0.4812 Tm
0.2563 0.7442 0.0188 Tm
0.4632 0.5002 0.7549 Tm
0.0002 0.5001 0.7497 Mg
0.4998 0.0001 0.7503 Mg
0.5002 0.9999 0.2497 Mg
0.9998 0.4999 0.2503 Mg
0.5000 0.5000 0.0000 C
0.0000 0.0000 0.5000 C


NaCuN2O (PBE-GGA, optimized geometry); formation energy from raw total energies = 4.97 eV/f.u.
1.0
3.8081 0.0000 0.0000
0.0000 3.8081 0.0000
0.0000 0.0000 4.0575
Na O Cu N
1 1 1 2
direct
0.5000 0.5000 0.5000 Na
0.0000 0.0000 0.5000 O
0.0000 0.0000 0.0000 Cu
0.0000 0.5000 0.0000 N
0.5000 0.0000 0.0000 N